Entry one
DFT (PBE) results for a relaxed Y2CdPt9 crystal.

## Properties
M_tot ... 0.00 μB per cell

Structure (POSCAR):
```
Y2CdPt9
1.0
4.106 0.000 0.000
0.000 4.106 0.000
0.000 0.000 12.267
Y Cd Pt
2 1 9
direct
0.000 0.000 0.170
0.000 0.000 0.830
0.000 0.000 0.500
0.000 0.500 0.000
0.000 0.500 0.338
0.000 0.500 0.662
0.500 0.000 0.000
0.500 0.000 0.338
0.500 0.000 0.662
0.500 0.500 0.169
0.500 0.500 0.500
0.500 0.500 0.831
```

Entry two
DFT (PBE) results for a relaxed Y2CdPt9 crystal.

## Properties
M_tot ... 0.00 μB per cell

Structure (POSCAR):
```
Y2CdPt9
1.0
2.702 1.560 8.837
-2.702 1.560 8.837
0.000 -3.120 8.837
Y Cd Pt
2 1 9
direct
0.137 0.137 0.137
0.863 0.863 0.863
0.000 0.000 0.000
0.081 0.588 0.588
0.333 0.333 0.333
0.412 0.412 0.919
0.412 0.919 0.412
0.500 0.500 0.500
0.588 0.081 0.588
0.588 0.588 0.081
0.667 0.667 0.667
0.919 0.412 0.412
```

entry one is preferred energetically. Next in line: 62 meV/atom higher.

Entry one
DFT (PBE) results for a relaxed Y3CdPt crystal.

## Properties
M_tot ... 0.00 μB per cell

Structure (POSCAR):
```
Y3CdPt
1.0
5.436 0.000 0.000
0.000 5.436 0.000
0.000 0.000 5.436
Y Cd Pt
3 1 1
direct
0.000 0.000 0.500
0.000 0.500 0.000
0.500 0.000 0.000
0.500 0.500 0.500
0.000 0.000 0.000
```

Entry two
DFT (PBE) results for a relaxed Y3CdPt crystal.

## Properties
M_tot ... 0.00 μB per cell

Structure (POSCAR):
```
Y3CdPt
1.0
5.804 0.000 0.000
-2.049 5.494 0.000
-1.873 -2.742 8.259
Y Cd Pt
6 2 2
direct
0.079 0.203 0.285
0.295 0.419 0.715
0.298 0.798 0.095
0.702 0.202 0.905
0.705 0.581 0.285
0.921 0.797 0.715
0.298 0.791 0.499
0.702 0.209 0.501
0.250 0.250 0.000
0.750 0.750 0.000
```

entry two is preferred energetically. Next in line: 262 meV/atom higher.